Sb2AsPPd4: optimized geometry, PBE.

Crystal system: trigonal
Uncorrected energy (Ha/atom): -0.1886
Space group: P-3m1, No. 164

The structure in CIF format:
```
data_Sb2AsPPd4
_symmetry_space_group_name_H-M 'P 1'
_symmetry_Int_Tables_number 1
_cell_length_a 3.9922
_cell_length_b 3.9922
_cell_length_c 10.7125
_cell_angle_alpha 90.00
_cell_angle_beta 90.00
_cell_angle_gamma 120.00
loop_
_symmetry_equiv_pos_as_xyz
'x,y,z'
loop_
_atom_site_label
_atom_site_type_symbol
_atom_site_fract_x
_atom_site_fract_y
_atom_site_fract_z
_atom_site_occupancy
Pd1 Pd 0.3333 0.6667 0.4026 1
Pd2 Pd 0.6667 0.3333 0.8823 1
Sb1 Sb 0.3333 0.6667 0.7438 1
P1 P 0.0000 0.0000 0.5000 1
Pd3 Pd 0.6667 0.3333 0.5974 1
Pd4 Pd 0.3333 0.6667 0.1177 1
Sb2 Sb 0.6667 0.3333 0.2562 1
As1 As 0.0000 0.0000 0.0000 1
```



NaLuTe3Pb: optimized geometry, PBE.

Crystal system: orthorhombic
Uncorrected energy (Ha/atom): -0.1477
Space group: Pnma, No. 62

The structure in CIF format:
```
data_NaLuTe3Pb
_symmetry_space_group_name_H-M 'P 1'
_symmetry_Int_Tables_number 1
_cell_length_a 14.5517
_cell_length_b 4.4675
_cell_length_c 12.8605
_cell_angle_alpha 90.00
_cell_angle_beta 90.00
_cell_angle_gamma 90.00
loop_
_symmetry_equiv_pos_as_xyz
'x,y,z'
loop_
_atom_site_label
_atom_site_type_symbol
_atom_site_fract_x
_atom_site_fract_y
_atom_site_fract_z
_atom_site_occupancy
Lu1 Lu 0.4910 0.2500 0.6433 1
Te1 Te 0.1157 0.7500 0.9400 1
Te2 Te 0.6157 0.7500 0.5600 1
Pb1 Pb 0.7642 0.2500 0.4554 1
Na1 Na 0.5330 0.2500 0.0837 1
Lu2 Lu 0.9910 0.2500 0.8567 1
Lu3 Lu 0.0090 0.7500 0.1433 1
Te3 Te 0.1340 0.2500 0.2218 1
Te4 Te 0.8843 0.2500 0.0600 1
Te5 Te 0.3969 0.7500 0.1449 1
Te6 Te 0.6031 0.2500 0.8551 1
Te7 Te 0.3843 0.2500 0.4400 1
Te8 Te 0.8969 0.7500 0.3551 1
Te9 Te 0.3660 0.7500 0.7218 1
Pb2 Pb 0.2358 0.7500 0.5446 1
Pb3 Pb 0.2642 0.2500 0.0446 1
Na2 Na 0.0330 0.2500 0.4163 1
Te10 Te 0.6340 0.2500 0.2782 1
Te11 Te 0.8660 0.7500 0.7782 1
Lu4 Lu 0.5090 0.7500 0.3567 1
Te12 Te 0.1031 0.2500 0.6449 1
Na3 Na 0.9670 0.7500 0.5837 1
Na4 Na 0.4670 0.7500 0.9163 1
Pb4 Pb 0.7358 0.7500 0.9554 1
```



What is the uncorrected energy in the first record?
-0.1886 Ha/atom



The lowest uncorrected energy belongs to which entry?
Sb2AsPPd4



The highest uncorrected energy belongs to which entry?
NaLuTe3Pb



Which value of uncorrected energy does entry 1 give?
-0.1886 Ha/atom